[1]
Density functional theory data (PBE) for a relaxed structure of Pm6Co2Bi.

Cell lengths 8.6838, 8.6838, 8.6838 Å; angles 107.33, 112.66, 108.48 degrees
Site moments in Bohr magnetons follow the coordinates.
Positions (direct):
Pm 0.5295 0.8159 0.7136  -0.01
Pm 0.4705 0.1841 0.2864  -0.01
Pm 0.1023 0.8159 0.2864  -0.01
Pm 0.8977 0.1841 0.7136  -0.01
Pm 0.7903 0.0228 0.2324  -0.01
Pm 0.2097 0.9772 0.7676  -0.01
Pm 0.2097 0.4421 0.2324  -0.01
Pm 0.7903 0.5579 0.7676  -0.01
Pm 0.6830 0.3232 0.0062  -0.02
Pm 0.3170 0.6768 0.9938  -0.02
Pm 0.3170 0.3232 0.6402  -0.02
Pm 0.6830 0.6768 0.3598  -0.02
Co 0.5000 0.1090 0.6090  -0.01
Co 0.5000 0.8910 0.3910  -0.01
Co 0.6496 0.6496 0.0000  0.38
Co 0.3504 0.3504 0.0000  0.38
Bi 0.0000 0.5000 0.5000  0.00
Bi 0.0000 0.0000 0.0000  0.02

Output
Its formation energy is -238.8 meV/atom.

---

[2]
Density functional theory data (PBE) for a relaxed structure of LiEu2Ga.

Cell lengths 3.8745, 3.8745, 7.7264 Å; angles 90.00, 90.00, 90.00 degrees
Site moments in Bohr magnetons follow the coordinates.
Positions (direct):
Eu 0.0000 0.0000 0.7765  6.88
Eu 0.0000 0.0000 0.2235  6.88
Ga 0.5000 0.5000 0.0000  0.01
Li 0.5000 0.5000 0.5000  0.03

Output
Its formation energy is -238.2 meV/atom.

---

[3]
Density functional theory data (PBE) for a relaxed structure of LaPrMgAu.

Cell lengths 3.8727, 3.8727, 7.5513 Å; angles 90.00, 90.00, 90.00 degrees
Positions (direct):
La 0.0000 0.0000 0.8404
Pr 0.0000 0.0000 0.3720
Mg 0.5000 0.5000 0.1118
Au 0.5000 0.5000 0.6039

Output
Its formation energy is -435.7 meV/atom.

---

[4]
Density functional theory data (PBE) for a relaxed structure of CsNaPb2I6.

Cell lengths 8.5788, 8.5788, 8.9678 Å; angles 61.40, 61.39, 59.98 degrees
Positions (direct):
Cs 0.7903 0.7906 0.6285
Na 0.3205 0.3204 0.0385
Pb 0.5174 0.5175 0.4478
Pb 0.0063 0.0064 0.9809
I 0.6166 0.2546 0.2294
I 0.2544 0.8994 0.2294
I 0.8998 0.6164 0.2299
I 0.3326 0.7385 0.7434
I 0.7385 0.1851 0.7437
I 0.1853 0.3327 0.7437

Output
As for the raw formation energy: -0.9271 eV/atom.

---

[5]
Density functional theory data (PBE) for a relaxed structure of TaZn2Ni8.

Cell lengths 3.8484, 6.1224, 6.1224 Å; angles 106.03, 90.06, 90.06 degrees
Positions (direct):
Ta 0.5000 0.0000 0.0000
Zn 0.0000 0.6235 0.3765
Zn 0.0000 0.3765 0.6235
Ni 0.9991 0.9631 0.6961
Ni 0.9991 0.6961 0.9631
Ni 0.4995 0.6654 0.6654
Ni 0.5000 0.2482 0.7518
Ni 0.5000 0.7518 0.2482
Ni 0.5005 0.3346 0.3346
Ni 0.0009 0.3039 0.0369
Ni 0.0009 0.0369 0.3039

Output
Its formation energy is 8.5 meV/atom.

---

[6]
Density functional theory data (PBE) for a relaxed structure of Sr2Zn5Pd.

Cell lengths 4.5354, 8.6204, 9.2920 Å; angles 90.00, 90.00, 105.25 degrees
Positions (direct):
Sr 0.8028 0.6055 0.7500
Sr 0.1972 0.3945 0.2500
Sr 0.0000 0.0000 0.0000
Sr 0.0000 0.0000 0.5000
Zn 0.1870 0.3741 0.8880
Zn 0.8130 0.6259 0.1120
Zn 0.1870 0.3741 0.6120
Zn 0.8130 0.6259 0.3880
Zn 0.3463 0.6927 0.9835
Zn 0.6537 0.3073 0.0165
Zn 0.3463 0.6927 0.5165
Zn 0.6537 0.3073 0.4835
Zn 0.5948 0.1896 0.7500
Zn 0.4052 0.8104 0.2500
Pd 0.4377 0.8754 0.7500
Pd 0.5623 0.1246 0.2500

Output
Its formation energy is -314.5 meV/atom.

---

[7]
Density functional theory data (PBE) for a relaxed structure of Ac4Hg2NO2.

Cell lengths 4.0567, 7.9853, 7.9001 Å; angles 105.19, 104.88, 90.00 degrees
Positions (direct):
Ac 0.2013 0.1662 0.4026
Ac 0.7987 0.8338 0.5974
Ac 0.5261 0.7883 0.0522
Ac 0.4739 0.2117 0.9478
Hg 0.1279 0.5479 0.2558
Hg 0.8721 0.4521 0.7442
N 0.0000 0.0000 0.0000
O 0.6767 0.9971 0.3534
O 0.3233 0.0029 0.6466

Output
As for the raw formation energy: -1.6146 eV/atom.

---

[8]
Density functional theory data (PBE) for a relaxed structure of Tb6Sm3Er.

Cell lengths 6.6191, 9.6132, 6.6436 Å; angles 110.63, 119.88, 90.00 degrees
Positions (direct):
Tb 0.4396 0.3095 0.3731
Tb 0.0665 0.6905 0.6269
Tb 0.5604 0.6905 0.6269
Tb 0.9335 0.3095 0.3731
Tb 0.3631 0.0776 0.7262
Tb 0.6369 0.9224 0.2738
Sm 0.9316 0.3044 0.8632
Sm 0.0684 0.6956 0.1368
Sm 0.0000 0.0000 0.0000
Er 0.5000 0.5000 0.0000

Output
Its formation energy is 226.8 meV/atom.

---

Number 1: D(E_F) 0.91 states/eV/atom. Number 2: D(E_F) 2.86 states/eV/atom. Number 3: D(E_F) 0.81 states/eV/atom. Number 4: D(E_F) 0.00 states/eV/atom. Number 5: D(E_F) 1.37 states/eV/atom. Number 6: D(E_F) 0.55 states/eV/atom. Number 7: D(E_F) 0.63 states/eV/atom. Number 8: D(E_F) 1.82 states/eV/atom.